Entry from the Alexandria database: a relaxed MnFe2W crystal (GGA-PBE).

POSCAR file:
```
MnFe2W
1.0
4.797 0.004 -0.002
2.102 4.312 0.002
-3.073 -2.760 2.439
Mn Fe W
1 2 1
direct
0.498 0.498 0.000
0.003 0.003 0.000
0.248 0.748 0.500
0.751 0.251 0.500
```

Output
* DFT formation energy: 0.070 eV/atom
* space-group type: Imm2
* V: 50.4 Å³/f.u.
* offset from the most stable computed form: 28 meV/atom


Entry from the Alexandria database: a relaxed Pm4Sm8Er crystal (GGA-PBE).

POSCAR file:
```
Pm4Sm8Er
1.0
6.511 0.000 -3.513
-4.203 6.088 0.000
1.308 0.904 10.215
Pm Sm Er
4 8 1
direct
0.000 0.000 0.000
0.000 0.500 0.000
0.500 0.500 0.000
0.500 0.000 0.000
0.571 0.786 0.357
0.429 0.214 0.643
0.499 0.250 0.301
0.949 0.198 0.699
0.501 0.750 0.699
0.949 0.750 0.699
0.051 0.250 0.301
0.051 0.802 0.301
0.000 0.500 0.500
```

Output
* DFT formation energy: 0.191 eV/atom
* space-group type: R-3m
* V: 446.2 Å³/f.u.


Entry from the Alexandria database: a relaxed ZrCrCu crystal (GGA-PBE).

POSCAR file:
```
ZrCrCu
1.0
4.383 0.000 0.000
2.192 3.796 0.000
2.192 1.265 3.579
Cr Cu Zr
1 1 1
direct
0.000 0.000 0.000
0.500 0.500 0.500
0.750 0.750 0.750
```

Output
* DFT formation energy: 0.895 eV/atom
* space-group type: F-43m
* V: 59.6 Å³/f.u.
* offset from the most stable computed form: 855 meV/atom